No. 1
Below is a relaxed TcTePt2 crystal, with properties calculated at the PBE level.

Cell lengths 8.874, 8.874, 8.874 Å; angles 19.72, 19.72, 19.72 degrees
Fractional positions:
Te1 0.754 0.754 0.754
Pt1 0.246 0.246 0.246
Pt2 0.999 0.999 0.999
Tc1 0.500 0.500 0.500

Summary:
Space-group type: R3m
Size of the total moment in μB/f.u.: 0.0
Energy relative to the elements, uncorrected in eV per atom: 0.3031
Electronic total energy in eV per atom: -6.09
Calculated volume in Å³/cell: 69.6
DOS at the Fermi energy in states/eV per cell: 3.6
Crystal system: trigonal

No. 2
Below is a relaxed TcTePt2 crystal, with properties calculated at the PBE level.

Cell lengths 5.143, 5.143, 5.143 Å; angles 134.31, 134.31, 66.61 degrees
Fractional positions:
Pt1 0.500 0.500 0.000
Pt2 0.000 0.000 0.000
Tc1 0.250 0.750 0.500
Te1 0.750 0.250 0.500

Summary:
Space-group type: I4/mmm
Size of the total moment in μB/f.u.: 1.4
Energy relative to the elements, uncorrected in eV per atom: 0.3155
Electronic total energy in eV per atom: -6.08
Calculated volume in Å³/cell: 68.6
DOS at the Fermi energy in states/eV per cell: 5.6
Crystal system: tetragonal

No. 3
Below is a relaxed TcTePt2 crystal, with properties calculated at the PBE level.

Cell lengths 5.111, 5.111, 4.589 Å; angles 84.35, 84.35, 35.55 degrees
Fractional positions:
Te1 0.250 0.250 0.250
Tc1 0.750 0.750 0.750
Pt1 0.481 0.481 0.517
Pt2 0.019 0.019 0.983

Summary:
Space-group type: C2/m
Size of the total moment in μB/f.u.: 0.0
Energy relative to the elements, uncorrected in eV per atom: 0.2090
Electronic total energy in eV per atom: -6.19
Calculated volume in Å³/cell: 69.3
DOS at the Fermi energy in states/eV per cell: 4.2
Crystal system: monoclinic

No. 4
Below is a relaxed Th6Tc2Te3Pt crystal, with properties calculated at the PBE level.

Cell lengths 4.210, 9.107, 10.025 Å; angles 108.99, 102.12, 90.00 degrees
Fractional positions:
Tc1 0.164 0.330 0.328
Tc2 0.836 0.670 0.672
Th1 0.322 0.443 0.644
Th2 0.984 0.767 0.968
Th3 0.339 0.881 0.679
Th4 0.661 0.119 0.321
Th5 0.016 0.233 0.032
Th6 0.678 0.557 0.356
Te1 0.500 0.500 0.000
Te2 0.165 0.834 0.329
Te3 0.835 0.166 0.671
Pt1 0.500 0.000 0.000

Summary:
Space-group type: C2/m
Size of the total moment in μB/f.u.: 0.0
Energy relative to the elements, uncorrected in eV per atom: -0.8355
Electronic total energy in eV per atom: -7.56
Calculated volume in Å³/cell: 354.3
DOS at the Fermi energy in states/eV per cell: 4.3
Crystal system: monoclinic

No. 5
Below is a relaxed Th8Tc3Te4Pt crystal, with properties calculated at the PBE level.

Cell lengths 8.404, 9.100, 8.404 Å; angles 117.50, 120.00, 90.00 degrees
Fractional positions:
Te1 0.000 0.000 0.000
Te2 0.000 0.000 0.500
Te3 0.500 0.000 0.000
Te4 0.500 0.000 0.500
Th1 0.734 0.703 0.469
Th2 0.723 0.700 0.962
Th3 0.761 0.300 0.522
Th4 0.239 0.700 0.962
Th5 0.266 0.297 0.531
Th6 0.761 0.300 0.038
Th7 0.239 0.700 0.478
Th8 0.277 0.300 0.038
Tc1 0.000 0.500 0.500
Tc2 0.500 0.500 0.000
Tc3 0.500 0.500 0.500
Pt1 0.000 0.500 0.000

Summary:
Space-group type: R-3m
Size of the total moment in μB/f.u.: 0.0
Energy relative to the elements, uncorrected in eV per atom: -0.7776
Electronic total energy in eV per atom: -7.59
Calculated volume in Å³/cell: 470.9
DOS at the Fermi energy in states/eV per cell: 10.0
Crystal system: trigonal

No. 6
Below is a relaxed Th6TcTe3Pt2 crystal, with properties calculated at the PBE level.

Cell lengths 4.222, 9.115, 10.043 Å; angles 108.64, 102.13, 90.00 degrees
Fractional positions:
Th1 0.993 0.783 0.986
Th2 0.326 0.441 0.651
Th3 0.651 0.101 0.302
Th4 0.674 0.559 0.349
Th5 0.007 0.217 0.014
Th6 0.349 0.899 0.698
Te1 0.500 0.500 0.000
Te2 0.831 0.167 0.662
Te3 0.169 0.833 0.338
Tc1 0.500 0.000 0.000
Pt1 0.832 0.665 0.665
Pt2 0.168 0.335 0.335

Summary:
Space-group type: C2/m
Size of the total moment in μB/f.u.: 0.0
Energy relative to the elements, uncorrected in eV per atom: -1.0169
Electronic total energy in eV per atom: -7.38
Calculated volume in Å³/cell: 357.1
DOS at the Fermi energy in states/eV per cell: 9.3
Crystal system: monoclinic

No. 7
Below is a relaxed TlTc2TePt crystal, with properties calculated at the PBE level.

Cell lengths 5.189, 5.007, 5.189 Å; angles 90.00, 90.00, 90.00 degrees
Fractional positions:
Te1 0.500 0.500 0.500
Tl1 0.000 0.000 0.000
Pt1 0.000 0.500 0.000
Tc1 0.500 0.000 0.000
Tc2 0.000 0.000 0.500

Summary:
Space-group type: P4/mmm
Size of the total moment in μB/f.u.: 6.6
Energy relative to the elements, uncorrected in eV per atom: 1.8578
Electronic total energy in eV per atom: -4.60
Calculated volume in Å³/cell: 134.8
DOS at the Fermi energy in states/eV per cell: 4.4
Crystal system: tetragonal

No. 8
Below is a relaxed Th3TcPt crystal, with properties calculated at the PBE level.

Cell lengths 4.020, 7.804, 9.176 Å; angles 104.94, 102.65, 90.00 degrees
Fractional positions:
Th1 0.983 0.437 0.246
Th2 0.166 0.769 0.612
Th3 0.990 0.958 0.261
Th4 0.639 0.351 0.558
Th5 0.812 0.100 0.904
Th6 0.331 0.551 0.942
Tc1 0.450 0.183 0.180
Tc2 0.771 0.716 0.822
Pt1 0.525 0.713 0.330
Pt2 0.201 0.164 0.681

Summary:
Space-group type: Cm
Size of the total moment in μB/f.u.: 0.0
ΔE_f in eV per atom: -0.50
Electronic total energy in eV per atom: -8.24
Calculated volume in Å³/cell: 270.9
DOS at the Fermi energy in states/eV per cell: 8.3
Crystal system: monoclinic